The following is a PBE-GGA calculation of ErBeCo4Si2 after structural relaxation, from the Alexandria database.

As for the crystal system: trigonal. The formation energy from raw total energies is -4.20 eV per formula unit.

a b c (Å): 8.0861 8.0861 8.0861
angles (deg): 27.48 27.48 27.48
With the nearest neighbours (Å) after each atom.
Element x y z (fractional)
Er 0.0000 0.0000 0.0000  8 Co 2.82-3.12
Be 0.5000 0.5000 0.5000  8 Co 2.14-2.35
Co 0.1336 0.1336 0.1336  3 Be 2.35, 4 Si 2.36, 3 Co 2.61
Co 0.4083 0.4083 0.4083  1 Be 2.14, 3 Si 2.28
Co 0.5917 0.5917 0.5917  1 Be 2.14, 3 Si 2.28
Co 0.8664 0.8664 0.8664  3 Be 2.35, 4 Si 2.36, 3 Co 2.61
Si 0.2349 0.2349 0.2349  7 Co 2.28-2.36
Si 0.7651 0.7651 0.7651  7 Co 2.28-2.36

=====

The following is a PBE-GGA calculation of RbSr2Al2 after structural relaxation, from the Alexandria database.

As for the crystal system: tetragonal. The polymorph energy (0 for the lowest one) comes out at 0.24 eV per formula unit. The calculation puts the formation energy at 10 kJ per mole of atoms.

a b c (Å): 9.6947 9.6947 3.7175
angles (deg): 90.00 90.00 90.00
With the nearest neighbours (Å) after each atom.
Element x y z (fractional)
Rb 0.0000 0.0000 0.0000  4 Sr 3.56, 2 Rb 3.72
Rb 0.5000 0.5000 0.0000  4 Sr 3.56, 2 Rb 3.72
Sr 0.1797 0.3203 0.0000  6 Al 3.41-3.47, 2 Rb 3.56, 2 Sr 3.72
Sr 0.3203 0.8203 0.0000  6 Al 3.41-3.47, 2 Rb 3.56, 2 Sr 3.72
Sr 0.6797 0.1797 0.0000  6 Al 3.41-3.47, 2 Rb 3.56, 2 Sr 3.72
Sr 0.8203 0.6797 0.0000  6 Al 3.41-3.47, 2 Rb 3.56, 2 Sr 3.72
Al 0.1062 0.6062 0.5000  1 Al 2.91
Al 0.3938 0.1062 0.5000  1 Al 2.91
Al 0.6062 0.8938 0.5000  1 Al 2.91
Al 0.8938 0.3938 0.5000  1 Al 2.91

=====

The following is a PBE-GGA calculation of PmPaOsRh after structural relaxation, from the Alexandria database.

As for the crystal system: cubic. The calculation puts the formation energy at -33 kJ per mole of atoms.

a b c (Å): 4.9101 4.9101 4.9101
angles (deg): 60.00 60.00 60.00
With the nearest neighbours (Å) after each atom.
Element x y z (fractional)
Pm 0.0000 0.0000 0.0000  4 Os 3.01, 4 Rh 3.01
Pa 0.5000 0.5000 0.5000  4 Os 3.01, 4 Rh 3.01
Os 0.7500 0.7500 0.7500  4 Pa 3.01, 4 Pm 3.01
Rh 0.2500 0.2500 0.2500  4 Pa 3.01, 4 Pm 3.01